No. 1
First-principles (PBEsol) data for ZrCuSiP after structural relaxation, as listed in Alexandria via LeMat-Bulk.

volume = 14.81 A^3/atom
uncorrected energy = -0.25896 Ha/atom

Lattice parameters (Å, degrees): 3.560 3.560 9.351 90.00 90.00 90.00
Fractional positions:
Zr: 0.250 0.250 0.231
Zr: 0.750 0.750 0.769
Cu: 0.250 0.750 0.500
Cu: 0.750 0.250 0.500
Si: 0.250 0.750 0.000
Si: 0.750 0.250 0.000
P: 0.250 0.250 0.671
P: 0.750 0.750 0.329



No. 2
First-principles (PBEsol) data for RbAl2AuS after structural relaxation, as listed in Alexandria via LeMat-Bulk.

volume = 38.56 A^3/atom
uncorrected energy = -0.06821 Ha/atom

Lattice parameters (Å, degrees): 5.991 5.991 5.371 90.00 90.00 90.00
Fractional positions:
Rb: 0.000 0.000 0.000
Al: 0.000 0.500 0.000
Al: 0.500 0.000 0.000
Au: 0.000 0.000 0.500
S: 0.500 0.500 0.500



No. 3
First-principles (PBEsol) data for ZnSiPt2 after structural relaxation, as listed in Alexandria via LeMat-Bulk.

volume = 15.47 A^3/atom
uncorrected energy = -0.20725 Ha/atom

Lattice parameters (Å, degrees): 5.502 5.502 5.502 103.71 103.71 121.74
Fractional positions:
Zn: 0.000 0.000 0.000
Zn: 0.750 0.250 0.500
Si: 0.250 0.750 0.500
Si: 0.500 0.500 0.000
Pt: 0.168 0.125 0.543
Pt: 0.375 0.832 0.957
Pt: 0.582 0.625 0.457
Pt: 0.875 0.418 0.043



No. 4
First-principles (PBEsol) data for FeSn3W after structural relaxation, as listed in Alexandria via LeMat-Bulk.

E_form = 1129 meV per atom
volume = 22.05 A^3/atom
uncorrected energy = -0.21979 Ha/atom

Lattice parameters (Å, degrees): 4.795 4.795 4.795 90.00 90.00 90.00
Fractional positions:
Fe: 0.000 0.000 0.000
Sn: 0.000 0.000 0.500
Sn: 0.000 0.500 0.000
Sn: 0.500 0.000 0.000
W: 0.500 0.500 0.500



No. 5
First-principles (PBEsol) data for Na6Sn2B4SO16 after structural relaxation, as listed in Alexandria via LeMat-Bulk.

volume = 12.04 A^3/atom
uncorrected energy = -0.24438 Ha/atom

Lattice parameters (Å, degrees): 9.959 9.959 9.959 60.00 60.00 60.00
Fractional positions:
Na: 0.089 0.089 0.661
Na: 0.089 0.661 0.089
Na: 0.089 0.661 0.661
Na: 0.339 0.339 0.911
Na: 0.339 0.911 0.339
Na: 0.339 0.911 0.911
Na: 0.661 0.089 0.089
Na: 0.661 0.089 0.661
Na: 0.661 0.661 0.089
Na: 0.911 0.339 0.339
Na: 0.911 0.339 0.911
Na: 0.911 0.911 0.339
Sn: 0.000 0.500 0.500
Sn: 0.500 0.000 0.500
Sn: 0.500 0.500 0.000
Sn: 0.500 0.500 0.500
B: 0.284 0.284 0.284
B: 0.284 0.284 0.647
B: 0.284 0.647 0.284
B: 0.353 0.716 0.716
B: 0.647 0.284 0.284
B: 0.716 0.353 0.716
B: 0.716 0.716 0.353
B: 0.716 0.716 0.716
S: 0.125 0.125 0.125
S: 0.875 0.875 0.875
O: 0.064 0.064 0.064
O: 0.064 0.064 0.309
O: 0.064 0.309 0.064
O: 0.134 0.307 0.651
O: 0.134 0.408 0.307
O: 0.134 0.651 0.408
O: 0.307 0.134 0.408
O: 0.307 0.408 0.651
O: 0.307 0.651 0.134
O: 0.309 0.064 0.064
O: 0.349 0.592 0.866
O: 0.349 0.693 0.592
O: 0.349 0.866 0.693
O: 0.408 0.134 0.651
O: 0.408 0.307 0.134
O: 0.408 0.651 0.307
O: 0.592 0.349 0.693
O: 0.592 0.693 0.866
O: 0.592 0.866 0.349
O: 0.651 0.134 0.307
O: 0.651 0.307 0.408
O: 0.651 0.408 0.134
O: 0.691 0.936 0.936
O: 0.693 0.349 0.866
O: 0.693 0.592 0.349
O: 0.693 0.866 0.592
O: 0.866 0.349 0.592
O: 0.866 0.592 0.693
O: 0.866 0.693 0.349
O: 0.936 0.691 0.936
O: 0.936 0.936 0.691
O: 0.936 0.936 0.936



No. 6
First-principles (PBEsol) data for BeFeCo2 after structural relaxation, as listed in Alexandria via LeMat-Bulk.

E_form = -17 meV per atom
volume = 9.72 A^3/atom
uncorrected energy = -0.26190 Ha/atom

Lattice parameters (Å, degrees): 7.705 7.705 7.705 18.18 18.18 18.18
Fractional positions:
Be: 0.000 0.000 0.000
Fe: 0.500 0.500 0.500
Co: 0.254 0.254 0.254
Co: 0.746 0.746 0.746



No. 7
First-principles (PBEsol) data for Tl3CrTe after structural relaxation, as listed in Alexandria via LeMat-Bulk.

volume = 29.67 A^3/atom
uncorrected energy = -0.14426 Ha/atom

Lattice parameters (Å, degrees): 5.294 5.294 5.294 90.00 90.00 90.00
Fractional positions:
Tl: 0.000 0.000 0.500
Tl: 0.000 0.500 0.000
Tl: 0.500 0.000 0.000
Cr: 0.000 0.000 0.000
Te: 0.500 0.500 0.500



No. 8
First-principles (PBEsol) data for CdHg4 after structural relaxation, as listed in Alexandria via LeMat-Bulk.

E_form = 87 meV per atom
volume = 25.18 A^3/atom
uncorrected energy = -0.02226 Ha/atom

Lattice parameters (Å, degrees): 8.176 8.176 8.176 151.28 151.28 41.06
Fractional positions:
Cd: 0.000 0.000 0.000
Hg: 0.250 0.750 0.500
Hg: 0.406 0.406 0.000
Hg: 0.594 0.594 0.000
Hg: 0.750 0.250 0.500



No. 9
First-principles (PBEsol) data for YCrAg2 after structural relaxation, as listed in Alexandria via LeMat-Bulk.

E_form = 151 meV per atom
volume = 18.73 A^3/atom
uncorrected energy = -0.21208 Ha/atom

Lattice parameters (Å, degrees): 5.137 5.137 5.137 131.29 131.29 71.35
Fractional positions:
Y: 0.000 0.000 0.000
Cr: 0.250 0.750 0.500
Ag: 0.500 0.500 0.000
Ag: 0.750 0.250 0.500



No. 10
First-principles (PBEsol) data for NiAgAu2 after structural relaxation, as listed in Alexandria via LeMat-Bulk.

E_form = 11 meV per atom
volume = 15.17 A^3/atom
uncorrected energy = -0.15868 Ha/atom

Lattice parameters (Å, degrees): 2.875 2.875 7.344 90.00 90.00 90.00
Fractional positions:
Ni: 0.000 0.000 0.000
Ag: 0.000 0.000 0.500
Au: 0.500 0.500 0.225
Au: 0.500 0.500 0.775



No. 11
First-principles (PBEsol) data for CaBeCl4 after structural relaxation, as listed in Alexandria via LeMat-Bulk.

volume = 23.21 A^3/atom
uncorrected energy = -0.08619 Ha/atom

Lattice parameters (Å, degrees): 5.818 5.818 5.818 60.00 60.00 60.00
Fractional positions:
Ca: 0.000 0.000 0.000
Be: 0.750 0.750 0.750
Cl: 0.376 0.376 0.376
Cl: 0.376 0.376 0.873
Cl: 0.376 0.873 0.376
Cl: 0.873 0.376 0.376



No. 12
First-principles (PBEsol) data for Li3CdBr after structural relaxation, as listed in Alexandria via LeMat-Bulk.

volume = 22.78 A^3/atom
uncorrected energy = -0.08165 Ha/atom

Lattice parameters (Å, degrees): 4.847 4.847 4.847 90.00 90.00 90.00
Fractional positions:
Li: 0.000 0.000 0.500
Li: 0.000 0.500 0.000
Li: 0.500 0.000 0.000
Cd: 0.500 0.500 0.500
Br: 0.000 0.000 0.000



No. 13
First-principles (PBEsol) data for BaSi2F2 after structural relaxation, as listed in Alexandria via LeMat-Bulk.

volume = 20.09 A^3/atom
uncorrected energy = -0.17747 Ha/atom

Lattice parameters (Å, degrees): 6.852 6.852 4.278 90.00 90.00 90.00
Fractional positions:
Ba: 0.000 0.000 0.000
Ba: 0.500 0.500 0.000
Si: 0.127 0.373 0.500
Si: 0.373 0.873 0.500
Si: 0.627 0.127 0.500
Si: 0.873 0.627 0.500
F: 0.135 0.365 0.000
F: 0.365 0.865 0.000
F: 0.635 0.135 0.000
F: 0.865 0.635 0.000